Version a
The following is a DFT calculation (GGA-PBE) of an optimized crystal structure of TcAgBr4.

Structure (POSCAR):
```
TcAgBr4
1.0
6.937 0.089 -1.943
-3.448 6.019 -1.998
0.238 0.495 9.211
Tc Ag Br
2 2 8
direct
0.936 0.686 0.872
0.064 0.314 0.128
0.419 0.169 0.837
0.581 0.831 0.163
0.399 0.624 0.341
0.723 0.985 0.906
0.058 0.783 0.658
0.818 0.579 0.095
0.601 0.376 0.659
0.942 0.217 0.342
0.277 0.015 0.094
0.182 0.421 0.905
```

ρ   4.36 g/cm³
Space-group type   No. 2



Version b
The following is a DFT calculation (GGA-PBE) of an optimized crystal structure of TcAgBr4.

Structure (POSCAR):
```
TcAgBr4
1.0
0.000 4.412 4.412
4.412 0.000 4.412
4.412 4.412 0.000
Tc Ag Br
1 1 4
direct
0.750 0.750 0.750
0.000 0.000 0.000
0.875 0.375 0.375
0.375 0.375 0.875
0.375 0.875 0.375
0.375 0.375 0.375
```

N(E_F)   8.3 states/eV per cell
ρ   5.08 g/cm³
Space-group type   No. 216



Taking the most stable structure as the zero point, the relative energies in meV/atom are version a 0; version b 1367.



Version a
The following is a DFT calculation (GGA-PBE) of an optimized crystal structure of TcAgBr.

Structure (POSCAR):
```
TcAgBr
1.0
7.740 0.001 0.000
6.803 2.952 0.005
0.937 -1.372 2.613
Br Tc Ag
1 1 1
direct
0.313 0.313 0.687
0.674 0.674 0.326
0.013 0.013 0.987
```

N(E_F)   2.2 states/eV per cell
ρ   7.94 g/cm³
Space-group type   No. 42



Version b
The following is a DFT calculation (GGA-PBE) of an optimized crystal structure of TcAgBr.

Structure (POSCAR):
```
TcAgBr
1.0
4.439 0.000 0.000
2.219 3.844 0.000
2.219 1.281 3.624
Br Tc Ag
1 1 1
direct
0.500 0.500 0.500
0.750 0.750 0.750
0.000 0.000 0.000
```

N(E_F)   2.9 states/eV per cell
ρ   7.67 g/cm³
Space-group type   No. 216



Version c
The following is a DFT calculation (GGA-PBE) of an optimized crystal structure of TcAgBr.

Structure (POSCAR):
```
TcAgBr
1.0
6.676 0.036 0.000
5.236 4.141 0.000
-5.956 -2.089 2.175
Br Tc Ag
1 1 1
direct
0.289 0.289 0.000
0.682 0.682 0.000
0.028 0.028 0.000
```

N(E_F)   1.8 states/eV per cell
ρ   7.95 g/cm³
Space-group type   No. 107



Taking the most stable structure as the zero point, the relative energies in meV/atom are version a 79; version b 412; version c 0.



Version a
The following is a DFT calculation (GGA-PBE) of an optimized crystal structure of Tc3AgBr.

Structure (POSCAR):
```
Tc3AgBr
1.0
5.135 0.000 0.000
0.000 5.135 0.000
0.000 0.000 5.135
Br Tc Ag
1 3 1
direct
0.500 0.500 0.500
0.000 0.500 0.000
0.000 0.000 0.500
0.500 0.000 0.000
0.000 0.000 0.000
```

N(E_F)   7.2 states/eV per cell
ρ   5.91 g/cm³
Space-group type   No. 221



Version b
The following is a DFT calculation (GGA-PBE) of an optimized crystal structure of Tc3AgBr.

Structure (POSCAR):
```
Tc3AgBr
1.0
4.562 0.000 0.000
0.000 4.562 0.000
0.000 0.000 4.562
Br Tc Ag
1 3 1
direct
0.000 0.000 0.000
0.000 0.500 0.000
0.000 0.000 0.500
0.500 0.000 0.000
0.500 0.500 0.500
```

N(E_F)   5.5 states/eV per cell
ρ   8.43 g/cm³
Space-group type   No. 221



Taking the most stable structure as the zero point, the relative energies in meV/atom are version a 732; version b 0.



Version a
The following is a DFT calculation (GGA-PBE) of an optimized crystal structure of Ag5Te2Br.

Structure (POSCAR):
```
Ag5Te2Br
1.0
-6.237 3.148 3.706
-7.983 -2.626 -11.203
-3.272 -12.745 5.318
Ag Te Br
40 16 8
direct
0.229 0.353 0.705
0.771 0.647 0.295
0.729 0.147 0.795
0.271 0.853 0.205
0.439 0.250 0.569
0.561 0.750 0.431
0.939 0.250 0.931
0.061 0.750 0.069
0.129 0.070 0.924
0.871 0.930 0.076
0.629 0.430 0.576
0.371 0.570 0.424
0.014 0.859 0.892
0.986 0.141 0.108
0.514 0.641 0.608
0.486 0.359 0.392
0.351 0.750 0.880
0.649 0.250 0.120
0.851 0.750 0.620
0.149 0.250 0.380
0.014 0.641 0.892
0.986 0.359 0.108
0.514 0.859 0.608
0.486 0.141 0.392
0.622 0.608 0.928
0.378 0.392 0.072
0.122 0.892 0.572
0.878 0.108 0.428
0.122 0.608 0.572
0.878 0.392 0.428
0.622 0.892 0.928
0.378 0.108 0.072
0.729 0.353 0.795
0.271 0.647 0.205
0.229 0.147 0.705
0.771 0.853 0.295
0.129 0.430 0.924
0.871 0.570 0.076
0.629 0.070 0.576
0.371 0.930 0.424
0.211 0.410 0.511
0.789 0.590 0.489
0.711 0.090 0.989
0.289 0.910 0.011
0.211 0.090 0.511
0.789 0.910 0.489
0.711 0.410 0.989
0.289 0.590 0.011
0.254 0.750 0.688
0.746 0.250 0.312
0.754 0.750 0.812
0.246 0.250 0.188
0.783 0.250 0.627
0.217 0.750 0.373
0.283 0.250 0.873
0.717 0.750 0.127
0.489 0.496 0.751
0.511 0.504 0.249
0.989 0.004 0.749
0.011 0.996 0.251
0.489 0.004 0.751
0.511 0.996 0.249
0.989 0.496 0.749
0.011 0.504 0.251
```

N(E_F)   3.2 states/eV per cell
ρ   7.39 g/cm³
Space-group type   No. 62



Version b
The following is a DFT calculation (GGA-PBE) of an optimized crystal structure of Ag5Te2Br.

Structure (POSCAR):
```
Ag5Te2Br
1.0
4.776 -0.892 0.000
-3.561 7.211 0.000
0.000 0.000 13.971
Ag Te Br
10 4 2
direct
0.953 0.875 0.920
0.953 0.875 0.580
0.322 0.567 0.453
0.322 0.567 0.047
0.529 0.534 0.250
0.471 0.466 0.750
0.678 0.433 0.547
0.678 0.433 0.953
0.047 0.125 0.080
0.047 0.125 0.420
0.021 0.760 0.395
0.021 0.760 0.105
0.979 0.240 0.605
0.979 0.240 0.895
0.129 0.795 0.750
0.871 0.205 0.250
```

N(E_F)   0.7 states/eV per cell
ρ   6.65 g/cm³
Space-group type   No. 11



Taking the most stable structure as the zero point, the relative energies in meV/atom are version a 0; version b 35.



Version a
The following is a DFT calculation (GGA-PBE) of an optimized crystal structure of Ag3TeBr2.

Structure (POSCAR):
```
Ag3TeBr2
1.0
-0.712 2.890 -5.181
-5.490 -5.102 -2.092
-2.784 3.573 5.821
Ag Te Br
6 2 4
direct
0.499 0.250 0.000
0.501 0.750 0.000
0.163 0.082 0.326
0.837 0.418 0.674
0.163 0.582 0.326
0.837 0.918 0.674
0.001 0.750 0.000
0.999 0.250 0.000
0.677 0.589 0.354
0.677 0.089 0.354
0.323 0.911 0.646
0.323 0.411 0.646
```

N(E_F)   4.8 states/eV per cell
ρ   6.76 g/cm³
Space-group type   No. 15



Version b
The following is a DFT calculation (GGA-PBE) of an optimized crystal structure of Ag3TeBr2.

Structure (POSCAR):
```
Ag3TeBr2
1.0
-1.910 -6.383 1.255
3.429 0.381 7.157
-10.763 4.191 4.934
Ag Te Br
12 4 8
direct
0.253 0.655 0.250
0.247 0.155 0.750
0.753 0.845 0.250
0.747 0.345 0.750
0.513 0.759 0.573
0.513 0.759 0.927
0.987 0.259 0.427
0.987 0.259 0.073
0.013 0.741 0.573
0.013 0.741 0.927
0.487 0.241 0.073
0.487 0.241 0.427
0.259 0.813 0.750
0.759 0.687 0.750
0.241 0.313 0.250
0.741 0.187 0.250
0.243 0.375 0.918
0.243 0.375 0.582
0.257 0.875 0.082
0.257 0.875 0.418
0.743 0.125 0.582
0.743 0.125 0.918
0.757 0.625 0.082
0.757 0.625 0.418
```

N(E_F)   2.6 states/eV per cell
ρ   6.00 g/cm³
Space-group type   No. 62



Taking the most stable structure as the zero point, the relative energies in meV/atom are version a 21; version b 0.



Version a
The following is a DFT calculation (GGA-PBE) of an optimized crystal structure of Ag2TeBr6.

Structure (POSCAR):
```
Ag2TeBr6
1.0
-1.189 5.186 6.000
1.523 -6.353 8.858
8.339 -2.384 6.777
Ag Te Br
4 2 12
direct
0.158 0.593 0.965
0.342 0.035 0.407
0.842 0.407 0.035
0.658 0.965 0.593
0.250 0.145 0.855
0.750 0.855 0.145
0.422 0.724 0.724
0.078 0.276 0.276
0.578 0.276 0.276
0.922 0.724 0.724
0.835 0.738 0.425
0.665 0.575 0.262
0.165 0.262 0.575
0.335 0.425 0.738
0.081 0.787 0.055
0.419 0.945 0.213
0.919 0.213 0.945
0.581 0.055 0.787
```

ρ   4.19 g/cm³
Space-group type   No. 15



Version b
The following is a DFT calculation (GGA-PBE) of an optimized crystal structure of Ag2TeBr6.

Structure (POSCAR):
```
Ag2TeBr6
1.0
6.699 0.000 0.000
0.000 7.130 -0.366
0.000 0.617 12.115
Ag Te Br
4 2 12
direct
0.501 0.000 0.180
0.001 0.500 0.320
0.999 0.500 0.680
0.499 0.000 0.820
0.500 0.500 0.000
0.000 0.000 0.500
0.233 0.167 0.661
0.233 0.167 0.339
0.269 0.184 0.000
0.769 0.316 0.500
0.733 0.333 0.161
0.733 0.333 0.839
0.767 0.833 0.339
0.767 0.833 0.661
0.731 0.816 0.000
0.231 0.684 0.500
0.267 0.667 0.839
0.267 0.667 0.161
```

N(E_F)   0.0 states/eV per cell
ρ   4.71 g/cm³
Space-group type   No. 14



Taking the most stable structure as the zero point, the relative energies in meV/atom are version a 26; version b 0.